First-principles (PBE) data for crystalline K2GaAgF6 at its relaxed geometry, as listed in Alexandria.

a b c (Å): 6.1338 6.1338 6.1338
angles (deg): 60.00 60.00 60.00
Last column: nearest neighbours and their distance in Å.
Element x y z (fractional)
1 F 0.7782 0.7782 0.2218  1 Ga 1.92
2 F 0.2218 0.2218 0.7782  1 Ga 1.92
3 F 0.2218 0.7782 0.2218  1 Ga 1.92
4 Ag 0.5000 0.5000 0.5000  6 F 2.41
5 Ga 0.0000 0.0000 0.0000  6 F 1.92
6 K 0.7500 0.7500 0.7500  12 F 3.08
7 F 0.2218 0.7782 0.7782  1 Ga 1.92
8 F 0.7782 0.2218 0.7782  1 Ga 1.92
9 K 0.2500 0.2500 0.2500  12 F 3.08
10 F 0.7782 0.2218 0.2218  1 Ga 1.92

Properties
Energy relative to the elements, uncorrected (eV per atom): -2.437
Symmetry: Fm-3m (225)
Total DFT energy (no corrections) (eV/atom): -4.368